First-principles (PBE-GGA) data for a relaxed structure of UFeNiIr, as listed in Alexandria.

abc: 3.804 3.837 4.047
angles: 90.00 90.00 90.00
Site moments in Bohr magnetons follow the coordinates.
Fractional positions:
U1 0.000 0.500 0.500  -1.08
Fe1 0.500 0.000 0.500  1.37
Ni1 0.000 0.000 0.000  0.27
Ir1 0.500 0.500 0.000  0.17

Properties
final energy: -8.971 eV per atom
calculated formation energy: -8.59 kcal/mol of atoms
M_tot: 0.6 μB per formula unit

=====

First-principles (PBE-GGA) data for a relaxed structure of Ho2PuHf, as listed in Alexandria.

abc: 3.274 3.274 11.976
angles: 82.14 82.14 60.00
Site moments in Bohr magnetons follow the coordinates.
Fractional positions:
Hf1 0.000 0.000 0.000  0.12
Ho1 0.088 0.088 0.736  0.11
Ho2 0.912 0.912 0.264  0.11
Pu1 0.500 0.500 0.500  -5.33

Properties
final energy: -7.965 eV per atom
calculated formation energy: 9.11 kcal/mol of atoms
M_tot: 5.2 μB per formula unit